Entry 1:
4
Lattice="0.0000 3.5740 3.5740 3.5740 0.0000 3.5740 3.5740 3.5740 0.0000" Properties=species:S:1:pos:R:3 comment="PBE-GGA ErLuMgCu, relaxed" energy_ev_per_atom=-3.762 m_tot_mub_per_cell=0.00 formation_enthalpy_0k_ev_per_atom=-0.068 pbc="T T T"
Er 0.0000 0.0000 0.0000
Lu 3.5740 3.5740 3.5740
Mg 5.3610 5.3610 5.3610
Cu 1.7870 1.7870 1.7870

---

Entry 2:
4
Lattice="2.0382 1.1767 7.3933 -2.0382 1.1767 7.3933 0.0000 -2.3535 7.3933" Properties=species:S:1:pos:R:3 comment="PBE-GGA RbHgF2, relaxed" e_above_lowest_polymorph_ev_per_atom=0.498 energy_ev_per_atom=-2.664 formation_energy_uncorrected_ev_per_atom=-1.411 m_tot_mub_per_cell=0.00 pbc="T T T"
Rb 0.0000 0.0000 0.0000
Hg 0.0000 0.0000 11.0900
F 0.0000 0.0000 2.5156
F 0.0000 0.0000 19.6643

---

Entry 3:
4
Lattice="0.0000 2.7930 2.7930 2.7930 0.0000 2.7930 2.7930 2.7930 0.0000" Properties=species:S:1:pos:R:3 comment="PBE-GGA CrCdH2, relaxed" e_above_lowest_polymorph_ev_per_atom=0.439 energy_ev_per_atom=-3.588 m_tot_mub_per_cell=3.80 pbc="T T T"
Cr 0.0000 0.0000 0.0000
Cd 2.7930 2.7930 2.7930
H 1.3965 1.3965 1.3965
H 4.1895 4.1895 4.1895

---

Entry 4:
8
Lattice="-3.5412 3.5412 2.7805 3.5412 -3.5412 2.7805 3.5412 3.5412 -2.7805" Properties=species:S:1:pos:R:3 comment="PBE-GGA HfGa2Cu, relaxed" energy_ev_per_atom=-5.123 m_tot_mub_per_cell=0.00 formation_enthalpy_0k_ev_per_atom=-0.097 pbc="T T T"
Hf 0.0000 0.0000 0.0000
Hf 0.0000 3.5412 1.3902
Ga 1.7706 -1.4826 2.0853
Ga 2.0586 1.7706 0.6951
Ga 1.7706 5.0238 -0.6951
Ga 1.4826 1.7706 3.4756
Cu 3.5412 0.0000 1.3902
Cu 0.0000 0.0000 2.7805

---

Entry 5:
14
Lattice="9.4445 0.0000 0.0000 0.0000 9.4445 0.0000 0.0000 0.0000 5.3390" Properties=species:S:1:pos:R:3 comment="PBE-GGA BaNa4Bi2, relaxed" energy_ev_per_atom=-2.655 m_tot_mub_per_cell=0.00 formation_enthalpy_0k_ev_per_atom=-0.518 pbc="T T T"
Ba 0.0000 0.0000 0.0000
Ba 4.7222 4.7222 2.6695
Na 0.9445 3.2070 2.6695
Na 1.5153 5.6667 0.0000
Na 3.2070 0.9445 2.6695
Na 3.7778 7.9292 0.0000
Na 5.6667 1.5153 0.0000
Na 6.2375 8.5000 2.6695
Na 7.9292 3.7778 0.0000
Na 8.5000 6.2375 2.6695
Bi 2.0165 7.4280 2.6695
Bi 2.7058 2.7058 0.0000
Bi 6.7387 6.7387 0.0000
Bi 7.4280 2.0165 2.6695

---

Entry 6:
4
Lattice="6.4271 -1.8209 0.0000 6.4271 1.8209 0.0000 -2.6830 0.0000 5.3660" Properties=species:S:1:pos:R:3 comment="PBE-GGA BaReTe2, relaxed" e_above_lowest_polymorph_ev_per_atom=0.240 energy_ev_per_atom=-5.198 formation_energy_uncorrected_ev_per_atom=-0.035 m_tot_mub_per_cell=0.84 pbc="T T T"
Ba 0.0000 0.0000 0.0000
Re 1.6836 0.0000 3.1740
Te 6.1209 0.0000 3.1825
Te 9.4476 0.0000 1.7681

---

Entry 7:
18
Lattice="5.0197 0.0000 0.0000 0.0000 5.0197 0.0000 0.0000 0.0000 10.1503" Properties=species:S:1:pos:R:3 comment="PBE-GGA PmHfSnO6, relaxed" energy_ev_per_atom=-7.915 formation_energy_uncorrected_ev_per_atom=-2.531 m_tot_mub_per_cell=1.85 pbc="T T T"
Pm 0.0000 0.0000 0.0000
Pm 2.5099 2.5099 5.0752
Hf 0.0000 0.0000 6.7702
Hf 2.5099 2.5099 1.6951
Sn 0.0000 0.0000 3.3655
Sn 2.5099 2.5099 8.4407
O 0.8835 0.8835 5.0504
O 1.0279 1.0279 8.2459
O 1.0336 1.0336 1.8608
O 1.4762 3.5435 6.9360
O 1.4820 3.5377 3.1708
O 1.6264 3.3933 10.1256
O 3.3933 1.6264 10.1256
O 3.5377 1.4820 3.1708
O 3.5435 1.4762 6.9360
O 3.9861 3.9861 1.8608
O 3.9918 3.9918 8.2459
O 4.1363 4.1363 5.0504

---

Entry 8:
8
Lattice="-2.6887 2.6887 5.4216 2.6887 -2.6887 5.4216 2.6887 2.6887 -5.4216" Properties=species:S:1:pos:R:3 comment="PBE-GGA Nb2BSe, relaxed" e_above_lowest_polymorph_ev_per_atom=0.128 energy_ev_per_atom=-7.404 formation_energy_uncorrected_ev_per_atom=0.172 m_tot_mub_per_cell=0.00 pbc="T T T"
Nb 4.0330 0.9767 -1.3554
Nb 0.9767 1.3443 1.3554
Nb -1.3443 1.7120 4.0662
Nb 1.7120 1.3443 6.7770
B 0.0000 0.0000 0.0000
B 0.0000 2.6887 2.7108
Se 2.6887 0.0000 2.7108
Se 0.0000 0.0000 5.4216